5
Lattice="4.204 0.000 0.000 0.000 4.204 0.000 0.000 0.000 4.204" Properties=species:S:1:pos:R:3 comment="GGA-PBE TcIr3F, relaxed" dft_energy_ev_per_atom=-6.390 formation_energy_uncorrected_mev_per_atom=1374 e_above_lowest_polymorph_ev_per_atom=0.000 dos_ef_per_ev_atom=1.674 vol_a3_per_atom=14.9 magmom_total_mub_per_fu=0.000 pbc="T T T"
Ir 2.102 0.000 0.000
Ir 0.000 2.102 0.000
Ir 0.000 0.000 2.102
F 0.000 0.000 0.000
Tc 2.102 2.102 2.102

11
Lattice="4.586 0.000 -0.739 -0.127 4.624 -0.789 -0.090 0.014 14.049" Properties=species:S:1:pos:R:3 comment="GGA-PBE Sr3Zn4Sn4, relaxed" dft_energy_ev_per_atom=-2.808 e_above_lowest_polymorph_ev_per_atom=0.000 formation_enthalpy_0k_ev_per_atom=-0.43 dos_ef_per_ev_atom=0.221 vol_a3_per_atom=27.1 magmom_total_mub_per_fu=0.000 pbc="T T T"
Sn 1.915 2.082 11.889
Sn 3.602 1.423 7.758
Sn 0.767 3.215 4.763
Sn 2.454 2.556 0.632
Zn 4.017 1.875 10.339
Zn 0.351 2.763 2.182
Zn 3.299 3.475 5.880
Zn 1.070 1.163 6.641
Sr 1.428 3.934 8.867
Sr 0.000 0.000 0.000
Sr 2.941 0.704 3.654

3
Lattice="-1.057 2.656 3.659 1.987 -4.148 0.639 2.713 1.277 -0.144" Properties=species:S:1:pos:R:3 comment="GGA-PBE ZrCdRh, relaxed" dft_energy_ev_per_atom=-5.918 formation_enthalpy_0k_ev_per_atom=-0.31 dos_ef_per_ev_atom=0.764 vol_a3_per_atom=18.7 magmom_total_mub_per_fu=0.000 pbc="T T T"
Zr 2.620 -1.104 1.558
Rh 0.888 0.826 2.603
Cd 0.135 0.063 -0.007

Repeat the second record exactly.
11
Lattice="4.586 0.000 -0.739 -0.127 4.624 -0.789 -0.090 0.014 14.049" Properties=species:S:1:pos:R:3 comment="GGA-PBE Sr3Zn4Sn4, relaxed" dft_energy_ev_per_atom=-2.808 e_above_lowest_polymorph_ev_per_atom=0.000 formation_enthalpy_0k_ev_per_atom=-0.43 dos_ef_per_ev_atom=0.221 vol_a3_per_atom=27.1 magmom_total_mub_per_fu=0.000 pbc="T T T"
Sn 1.915 2.082 11.889
Sn 3.602 1.423 7.758
Sn 0.767 3.215 4.763
Sn 2.454 2.556 0.632
Zn 4.017 1.875 10.339
Zn 0.351 2.763 2.182
Zn 3.299 3.475 5.880
Zn 1.070 1.163 6.641
Sr 1.428 3.934 8.867
Sr 0.000 0.000 0.000
Sr 2.941 0.704 3.654